1.
# LaTbPr5 (PBE, relaxed)
data_LaTbPr5
_chemical_formula_sum 'La2 Tb2 Pr10'
_symmetry_space_group_name_H-M 'I m m m'
_symmetry_Int_Tables_number 71
_symmetry_space_group_name_Hall '-I 2 2'
_cell_length_a 5.939
_cell_length_b 8.872
_cell_length_c 12.191
_cell_angle_alpha 90.00
_cell_angle_beta 90.00
_cell_angle_gamma 90.00
loop_
_atom_site_label
_atom_site_type_symbol
_atom_site_fract_x
_atom_site_fract_y
_atom_site_fract_z
La1 La 0.000 0.000 0.000
Tb1 Tb 0.000 0.000 0.500
Pr1 Pr 0.000 0.000 0.250
Pr2 Pr 0.000 0.323 0.000
Pr3 Pr 0.000 0.500 0.500
# ΔE_f = 6.5 eV/f.u.
# Fermi-level density of states = 27.785 states/eV per cell
# Electronic total energy = -3.856 eV/atom

---

2.
# La3Tb2Pr3 (PBE, relaxed)
data_La3Tb2Pr3
_chemical_formula_sum 'La6 Tb4 Pr6'
_symmetry_space_group_name_H-M 'C 1 2/m 1'
_symmetry_Int_Tables_number 12
_cell_length_a 16.939
_cell_length_b 5.916
_cell_length_c 6.142
_cell_angle_alpha 90.00
_cell_angle_beta 111.12
_cell_angle_gamma 90.00
loop_
_symmetry_equiv_pos_as_xyz
'x,y,z'
'-x,-y,-z'
'-x,y,-z'
'x,-y,z'
'x+1/2,y+1/2,z'
'-x+1/2,-y+1/2,-z'
'-x+1/2,y+1/2,-z'
'x+1/2,-y+1/2,z'
loop_
_atom_site_label
_atom_site_type_symbol
_atom_site_fract_x
_atom_site_fract_y
_atom_site_fract_z
La1 La 0.000 0.000 0.000
La2 La 0.135 0.000 0.579
Tb1 Tb 0.249 0.500 0.817
Pr1 Pr 0.000 0.500 0.500
Pr2 Pr 0.136 0.500 0.190
# ΔE_f = 0.5 eV/f.u.
# Fermi-level density of states = 25.971 states/eV per cell
# Electronic total energy = -4.731 eV/atom

---

3.
# La4Tb2Pr3 (PBE, relaxed)
data_La4Tb2Pr3
_chemical_formula_sum 'La4 Tb2 Pr3'
_symmetry_space_group_name_H-M 'P -1'
_symmetry_Int_Tables_number 2
_cell_length_a 6.374
_cell_length_b 6.392
_cell_length_c 9.769
_cell_angle_alpha 71.24
_cell_angle_beta 71.28
_cell_angle_gamma 60.10
loop_
_symmetry_equiv_pos_as_xyz
'x,y,z'
'-x,-y,-z'
loop_
_atom_site_label
_atom_site_type_symbol
_atom_site_fract_x
_atom_site_fract_y
_atom_site_fract_z
La1 La 0.163 0.168 0.001
La2 La 0.276 0.611 0.665
Tb1 Tb 0.055 0.720 0.336
Pr1 Pr 0.389 0.056 0.334
Pr2 Pr 0.500 0.500 0.000
# ΔE_f = 0.2 eV/f.u.
# Fermi-level density of states = 15.652 states/eV per cell
# Electronic total energy = -4.795 eV/atom

---

4.
# LaTb4Pr8 (PBE, relaxed)
data_LaTb4Pr8
_chemical_formula_sum 'La3 Tb12 Pr24'
_symmetry_space_group_name_H-M 'R -3 m'
_symmetry_Int_Tables_number 166
_symmetry_space_group_name_Hall '-R 3 2"'
_cell_length_a 7.4772
_cell_length_b 7.4772
_cell_length_c 28.4535
_cell_angle_alpha 90.00
_cell_angle_beta 90.00
_cell_angle_gamma 120.00
loop_
_atom_site_label
_atom_site_type_symbol
_atom_site_fract_x
_atom_site_fract_y
_atom_site_fract_z
La1 La 0.0000 0.0000 0.0000
Tb1 Tb 0.0000 0.0000 0.5000
Tb2 Tb 0.0000 0.5000 0.5000
Pr1 Pr 0.0000 0.0000 0.2819
Pr2 Pr 0.0326 0.5163 0.2663
# ΔE_f = 2.1 eV/f.u.
# Fermi-level density of states = 49.808 states/eV per cell
# Electronic total energy = -4.585 eV/atom

---

5.
# LaTb6Pr3 (PBE, relaxed)
data_LaTb6Pr3
_chemical_formula_sum 'La3 Tb18 Pr9'
_symmetry_space_group_name_H-M 'R 3'
_symmetry_Int_Tables_number 146
_symmetry_space_group_name_Hall 'R 3'
_cell_length_a 10.0226
_cell_length_b 10.0226
_cell_length_c 11.7925
_cell_angle_alpha 90.00
_cell_angle_beta 90.00
_cell_angle_gamma 120.00
loop_
_atom_site_label
_atom_site_type_symbol
_atom_site_fract_x
_atom_site_fract_y
_atom_site_fract_z
La1 La 0.0000 0.0000 0.0000
Tb1 Tb 0.0000 0.3269 0.9988
Tb2 Tb 0.0001 0.6753 0.4987
Pr1 Pr 0.0000 0.0000 0.2491
Pr2 Pr 0.0000 0.0000 0.5000
Pr3 Pr 0.0000 0.0000 0.7512
# ΔE_f = 2.8 eV/f.u.
# Fermi-level density of states = 67.526 states/eV per cell
# Electronic total energy = -4.422 eV/atom

---

6.
# La7Tb16Pr6 (PBE, relaxed)
data_La7Tb16Pr6
_chemical_formula_sum 'La28 Tb64 Pr24'
_symmetry_space_group_name_H-M 'F m -3 m'
_symmetry_Int_Tables_number 225
_symmetry_space_group_name_Hall '-F 4 2 3'
_cell_length_a 16.171
_cell_length_b 16.171
_cell_length_c 16.171
_cell_angle_alpha 90.00
_cell_angle_beta 90.00
_cell_angle_gamma 90.00
loop_
_atom_site_label
_atom_site_type_symbol
_atom_site_fract_x
_atom_site_fract_y
_atom_site_fract_z
La1 La 0.000 0.000 0.000
La2 La 0.000 0.250 0.250
Tb1 Tb 0.131 0.131 0.131
Tb2 Tb 0.153 0.153 0.347
Pr1 Pr 0.000 0.000 0.253
# ΔE_f = 6.8 eV/f.u.
# Fermi-level density of states = 186.252 states/eV per cell
# Electronic total energy = -4.499 eV/atom

---

7.
# La7Tb2Pr (PBE, relaxed)
data_La7Tb2Pr
_chemical_formula_sum 'La14 Tb4 Pr2'
_symmetry_space_group_name_H-M 'C m m m'
_symmetry_Int_Tables_number 65
_symmetry_space_group_name_Hall '-C 2 2'
_cell_length_a 12.242
_cell_length_b 17.315
_cell_length_c 3.552
_cell_angle_alpha 90.00
_cell_angle_beta 90.00
_cell_angle_gamma 90.00
loop_
_atom_site_label
_atom_site_type_symbol
_atom_site_fract_x
_atom_site_fract_y
_atom_site_fract_z
La1 La 0.000 0.000 0.000
La2 La 0.000 0.179 0.500
La3 La 0.243 0.132 0.000
Tb1 Tb 0.000 0.332 0.000
Pr1 Pr 0.000 0.500 0.500
# ΔE_f = 3.2 eV/f.u.
# Fermi-level density of states = 35.658 states/eV per cell
# Electronic total energy = -4.533 eV/atom

---

8.
# LaTbPr4 (PBE, relaxed)
data_LaTbPr4
_chemical_formula_sum 'La2 Tb2 Pr8'
_symmetry_space_group_name_H-M 'C 1 2/m 1'
_symmetry_Int_Tables_number 12
_cell_length_a 11.319
_cell_length_b 6.142
_cell_length_c 7.203
_cell_angle_alpha 90.00
_cell_angle_beta 121.47
_cell_angle_gamma 90.00
loop_
_symmetry_equiv_pos_as_xyz
'x,y,z'
'-x,-y,-z'
'-x,y,-z'
'x,-y,z'
'x+1/2,y+1/2,z'
'-x+1/2,-y+1/2,-z'
'-x+1/2,y+1/2,-z'
'x+1/2,-y+1/2,z'
loop_
_atom_site_label
_atom_site_type_symbol
_atom_site_fract_x
_atom_site_fract_y
_atom_site_fract_z
La1 La 0.000 0.000 0.000
Tb1 Tb 0.000 0.000 0.500
Pr1 Pr 0.160 0.500 0.503
Pr2 Pr 0.174 0.500 0.015
# ΔE_f = 0.6 eV/f.u.
# Fermi-level density of states = 23.479 states/eV per cell
# Electronic total energy = -4.680 eV/atom

---

9.
# LaTbPr2 (PBE, relaxed)
data_LaTbPr2
_chemical_formula_sum 'La4 Tb4 Pr8'
_symmetry_space_group_name_H-M 'F m -3 m'
_symmetry_Int_Tables_number 225
_symmetry_space_group_name_Hall '-F 4 2 3'
_cell_length_a 8.294
_cell_length_b 8.294
_cell_length_c 8.294
_cell_angle_alpha 90.00
_cell_angle_beta 90.00
_cell_angle_gamma 90.00
loop_
_atom_site_label
_atom_site_type_symbol
_atom_site_fract_x
_atom_site_fract_y
_atom_site_fract_z
La1 La 0.000 0.000 0.000
Tb1 Tb 0.000 0.000 0.500
Pr1 Pr 0.250 0.250 0.250
# ΔE_f = 0.6 eV/f.u.
# Fermi-level density of states = 40.468 states/eV per cell
# Electronic total energy = -4.639 eV/atom

---

10.
# La2Tb6Pr (PBE, relaxed)
data_La2Tb6Pr
_chemical_formula_sum 'La4 Tb12 Pr2'
_symmetry_space_group_name_H-M 'P 42/m n m'
_symmetry_Int_Tables_number 136
_symmetry_space_group_name_Hall '-P 4n 2n'
_cell_length_a 5.601
_cell_length_b 5.601
_cell_length_c 21.812
_cell_angle_alpha 90.00
_cell_angle_beta 90.00
_cell_angle_gamma 90.00
loop_
_atom_site_label
_atom_site_type_symbol
_atom_site_fract_x
_atom_site_fract_y
_atom_site_fract_z
La1 La 0.000 0.000 0.235
Tb1 Tb 0.171 0.171 0.000
Tb2 Tb 0.228 0.228 0.381
Pr1 Pr 0.000 0.000 0.500
# ΔE_f = 5.9 eV/f.u.
# Fermi-level density of states = 25.077 states/eV per cell
# Electronic total energy = -4.056 eV/atom

---

11.
# La3Tb8Pr4 (PBE, relaxed)
data_La3Tb8Pr4
_chemical_formula_sum 'La6 Tb16 Pr8'
_symmetry_space_group_name_H-M 'C 1 2/m 1'
_symmetry_Int_Tables_number 12
_cell_length_a 13.619
_cell_length_b 13.017
_cell_length_c 6.888
_cell_angle_alpha 90.00
_cell_angle_beta 120.33
_cell_angle_gamma 90.00
loop_
_symmetry_equiv_pos_as_xyz
'x,y,z'
'-x,-y,-z'
'-x,y,-z'
'x,-y,z'
'x+1/2,y+1/2,z'
'-x+1/2,-y+1/2,-z'
'-x+1/2,y+1/2,-z'
'x+1/2,-y+1/2,z'
loop_
_atom_site_label
_atom_site_type_symbol
_atom_site_fract_x
_atom_site_fract_y
_atom_site_fract_z
La1 La 0.000 0.000 0.000
La2 La 0.250 0.250 0.500
Tb1 Tb 0.000 0.142 0.500
Tb2 Tb 0.000 0.240 0.000
Tb3 Tb 0.231 0.000 0.491
Tb4 Tb 0.231 0.000 0.968
Pr1 Pr 0.000 0.500 0.000
Pr2 Pr 0.000 0.500 0.500
Pr3 Pr 0.250 0.250 0.000
# ΔE_f = 5.1 eV/f.u.
# Fermi-level density of states = 59.585 states/eV per cell
# Electronic total energy = -4.392 eV/atom

---

12.
# La3Tb4Pr3 (PBE, relaxed)
data_La3Tb4Pr3
_chemical_formula_sum 'La6 Tb8 Pr6'
_symmetry_space_group_name_H-M 'A m m 2'
_symmetry_Int_Tables_number 38
_cell_length_a 3.698
_cell_length_b 13.913
_cell_length_c 13.906
_cell_angle_alpha 90.00
_cell_angle_beta 90.00
_cell_angle_gamma 90.00
loop_
_symmetry_equiv_pos_as_xyz
'x,y,z'
'-x,-y,z'
'-x,y,z'
'x,-y,z'
'x,y+1/2,z+1/2'
'-x,-y+1/2,z+1/2'
'-x,y+1/2,z+1/2'
'x,-y+1/2,z+1/2'
loop_
_atom_site_label
_atom_site_type_symbol
_atom_site_fract_x
_atom_site_fract_y
_atom_site_fract_z
La1 La 0.000 0.000 0.000
La2 La 0.500 0.249 0.425
Tb1 Tb 0.500 0.000 0.553
Tb2 Tb 0.500 0.000 0.797
Tb3 Tb 0.500 0.122 0.176
Pr1 Pr 0.000 0.000 0.350
Pr2 Pr 0.000 0.175 0.675
# ΔE_f = 0.9 eV/f.u.
# Fermi-level density of states = 22.329 states/eV per cell
# Electronic total energy = -4.676 eV/atom

---

13.
# La6Tb2Pr (PBE, relaxed)
data_La6Tb2Pr
_chemical_formula_sum 'La6 Tb2 Pr1'
_symmetry_space_group_name_H-M 'P -6 2 m'
_symmetry_Int_Tables_number 189
_symmetry_space_group_name_Hall 'P -6 -2'
_cell_length_a 10.1211
_cell_length_b 10.1211
_cell_length_c 3.6444
_cell_angle_alpha 90.00
_cell_angle_beta 90.00
_cell_angle_gamma 120.00
loop_
_atom_site_label
_atom_site_type_symbol
_atom_site_fract_x
_atom_site_fract_y
_atom_site_fract_z
La1 La 0.0000 0.3110 0.0000
La2 La 0.0000 0.6416 0.5000
Tb1 Tb 0.3333 0.6667 0.0000
Pr1 Pr 0.0000 0.0000 0.5000
# ΔE_f = 0.2 eV/f.u.
# Fermi-level density of states = 14.770 states/eV per cell
# Electronic total energy = -4.817 eV/atom

---

14.
# La5Tb6Pr2 (PBE, relaxed)
data_La5Tb6Pr2
_chemical_formula_sum 'La10 Tb12 Pr4'
_symmetry_space_group_name_H-M 'P b a m'
_symmetry_Int_Tables_number 55
_cell_length_a 11.840
_cell_length_b 21.092
_cell_length_c 3.651
_cell_angle_alpha 90.00
_cell_angle_beta 90.00
_cell_angle_gamma 90.00
loop_
_symmetry_equiv_pos_as_xyz
'x,y,z'
'-x,-y,-z'
'-x,-y,z'
'x,y,-z'
'x+1/2,-y+1/2,-z'
'-x+1/2,y+1/2,z'
'-x+1/2,y+1/2,-z'
'x+1/2,-y+1/2,z'
loop_
_atom_site_label
_atom_site_type_symbol
_atom_site_fract_x
_atom_site_fract_y
_atom_site_fract_z
La1 La 0.000 0.000 0.000
La2 La 0.062 0.288 0.000
La3 La 0.198 0.565 0.000
Tb1 Tb 0.062 0.141 0.500
Tb2 Tb 0.072 0.432 0.500
Tb3 Tb 0.190 0.876 0.000
Pr1 Pr 0.195 0.728 0.500
# ΔE_f = 1.1 eV/f.u.
# Fermi-level density of states = 35.748 states/eV per cell
# Electronic total energy = -4.679 eV/atom

---

15.
# LaTb2Pr (PBE, relaxed)
data_LaTb2Pr
_chemical_formula_sum 'La3 Tb6 Pr3'
_symmetry_space_group_name_H-M 'R 3 m'
_symmetry_Int_Tables_number 160
_symmetry_space_group_name_Hall 'R 3 -2"'
_cell_length_a 3.6614
_cell_length_b 3.6614
_cell_length_c 35.4244
_cell_angle_alpha 90.00
_cell_angle_beta 90.00
_cell_angle_gamma 120.00
loop_
_atom_site_label
_atom_site_type_symbol
_atom_site_fract_x
_atom_site_fract_y
_atom_site_fract_z
La1 La 0.0000 0.0000 0.0000
Tb1 Tb 0.0000 0.0000 0.4162
Tb2 Tb 0.0000 0.0000 0.5834
Pr1 Pr 0.0000 0.0000 0.8339
# ΔE_f = 0.1 eV/f.u.
# Fermi-level density of states = 17.945 states/eV per cell
# Electronic total energy = -4.724 eV/atom

---

16.
# LaTb5Pr2 (PBE, relaxed)
data_LaTb5Pr2
_chemical_formula_sum 'La2 Tb10 Pr4'
_symmetry_space_group_name_H-M 'P b a m'
_symmetry_Int_Tables_number 55
_cell_length_a 7.236
_cell_length_b 14.492
_cell_length_c 5.137
_cell_angle_alpha 90.00
_cell_angle_beta 90.00
_cell_angle_gamma 90.00
loop_
_symmetry_equiv_pos_as_xyz
'x,y,z'
'-x,-y,-z'
'-x,-y,z'
'x,y,-z'
'x+1/2,-y+1/2,-z'
'-x+1/2,y+1/2,z'
'-x+1/2,y+1/2,-z'
'x+1/2,-y+1/2,z'
loop_
_atom_site_label
_atom_site_type_symbol
_atom_site_fract_x
_atom_site_fract_y
_atom_site_fract_z
La1 La 0.000 0.000 0.000
Tb1 Tb 0.000 0.500 0.000
Tb2 Tb 0.004 0.252 0.000
Tb3 Tb 0.248 0.874 0.500
Pr1 Pr 0.247 0.626 0.500
# ΔE_f = 0.2 eV/f.u.
# Fermi-level density of states = 23.955 states/eV per cell
# Electronic total energy = -4.684 eV/atom

---

17.
# La4Tb2Pr3 (PBE, relaxed)
data_La4Tb2Pr3
_chemical_formula_sum 'La8 Tb4 Pr6'
_symmetry_space_group_name_H-M 'C 1 2/m 1'
_symmetry_Int_Tables_number 12
_cell_length_a 15.665
_cell_length_b 5.250
_cell_length_c 8.224
_cell_angle_alpha 90.00
_cell_angle_beta 108.43
_cell_angle_gamma 90.00
loop_
_symmetry_equiv_pos_as_xyz
'x,y,z'
'-x,-y,-z'
'-x,y,-z'
'x,-y,z'
'x+1/2,y+1/2,z'
'-x+1/2,-y+1/2,-z'
'-x+1/2,y+1/2,-z'
'x+1/2,-y+1/2,z'
loop_
_atom_site_label
_atom_site_type_symbol
_atom_site_fract_x
_atom_site_fract_y
_atom_site_fract_z
La1 La 0.055 0.000 0.330
La2 La 0.223 0.500 0.330
Tb1 Tb 0.168 0.000 0.999
Pr1 Pr 0.000 0.500 0.000
Pr2 Pr 0.112 0.500 0.670
# ΔE_f = 0.2 eV/f.u.
# Fermi-level density of states = 32.215 states/eV per cell
# Electronic total energy = -4.794 eV/atom

---

18.
# La12TbPr7 (PBE, relaxed)
data_La12TbPr7
_chemical_formula_sum 'La36 Tb3 Pr21'
_symmetry_space_group_name_H-M 'R -3'
_symmetry_Int_Tables_number 148
_symmetry_space_group_name_Hall '-R 3'
_cell_length_a 12.6640
_cell_length_b 12.6640
_cell_length_c 15.7019
_cell_angle_alpha 90.00
_cell_angle_beta 90.00
_cell_angle_gamma 120.00
loop_
_atom_site_label
_atom_site_type_symbol
_atom_site_fract_x
_atom_site_fract_y
_atom_site_fract_z
La1 La 0.0225 0.5789 0.2232
La2 La 0.0657 0.4738 0.5777
Tb1 Tb 0.0000 0.0000 0.5000
Pr1 Pr 0.0000 0.0000 0.0000
Pr2 Pr 0.0596 0.8742 0.3013
# ΔE_f = 3.4 eV/f.u.
# Fermi-level density of states = 115.691 states/eV per cell
# Electronic total energy = -4.689 eV/atom

---

19.
# La4Tb10Pr (PBE, relaxed)
data_La4Tb10Pr
_chemical_formula_sum 'La8 Tb20 Pr2'
_symmetry_space_group_name_H-M 'I 4/m'
_symmetry_Int_Tables_number 87
_symmetry_space_group_name_Hall '-I 4'
_cell_length_a 9.785
_cell_length_b 9.785
_cell_length_c 10.834
_cell_angle_alpha 90.00
_cell_angle_beta 90.00
_cell_angle_gamma 90.00
loop_
_atom_site_label
_atom_site_type_symbol
_atom_site_fract_x
_atom_site_fract_y
_atom_site_fract_z
La1 La 0.062 0.333 0.000
Tb1 Tb 0.000 0.500 0.250
Tb2 Tb 0.116 0.208 0.342
Pr1 Pr 0.000 0.000 0.000
# ΔE_f = 4.9 eV/f.u.
# Fermi-level density of states = 44.259 states/eV per cell
# Electronic total energy = -4.394 eV/atom

---

20.
# LaTb4Pr (PBE, relaxed)
data_LaTb4Pr
_chemical_formula_sum 'La4 Tb16 Pr4'
_symmetry_space_group_name_H-M 'F -4 3 m'
_symmetry_Int_Tables_number 216
_symmetry_space_group_name_Hall 'F -4 2 3'
_cell_length_a 9.466
_cell_length_b 9.466
_cell_length_c 9.466
_cell_angle_alpha 90.00
_cell_angle_beta 90.00
_cell_angle_gamma 90.00
loop_
_atom_site_label
_atom_site_type_symbol
_atom_site_fract_x
_atom_site_fract_y
_atom_site_fract_z
La1 La 0.000 0.000 0.000
Tb1 Tb 0.125 0.125 0.375
Pr1 Pr 0.250 0.250 0.750
# ΔE_f = 1.6 eV/f.u.
# Fermi-level density of states = 59.794 states/eV per cell
# Electronic total energy = -4.433 eV/atom